The following is a DFT calculation (GGA-PBE) of HfZr3O after structural relaxation.

Values from the calculation:
crystal system	cubic
energy relative to the elements, uncorrected	7.47	eV/f.u.
symmetry	Pm-3m
excess energy over the best structure of this formula in the dataset	12.84	eV per formula unit
total magnetization	0.00	μB per formula unit
E_tot	-6.6178	eV/atom

a b c (Å): 5.1574 5.1574 5.1574
angles (deg): 90.00 90.00 90.00
Last column: nearest neighbours and their distance in Å.
Atoms (fractional coordinates):
Hf: 0.0000 0.0000 0.0000  6 Zr 2.58
Zr: 0.0000 0.0000 0.5000  2 Hf 2.58
Zr: 0.0000 0.5000 0.0000  2 Hf 2.58
Zr: 0.5000 0.0000 0.0000  2 Hf 2.58
O: 0.5000 0.5000 0.5000  12 Zr 3.65

=====

The following is a DFT calculation (GGA-PBE) of TlSbSe4 after structural relaxation.

Values from the calculation:
crystal system	cubic
energy relative to the elements, uncorrected	2.47	eV/f.u.
symmetry	F-43m
excess energy over the best structure of this formula in the dataset	3.17	eV per formula unit
total magnetization	0.00	μB per formula unit
E_tot	-2.9929	eV/atom

a b c (Å): 5.9110 5.9110 5.9110
angles (deg): 60.00 60.00 60.00
Last column: nearest neighbours and their distance in Å.
Atoms (fractional coordinates):
Tl: 0.0000 0.0000 0.0000  12 Se 3.47, 4 Sb 3.62
Sb: 0.7500 0.7500 0.7500  12 Se 3.47, 4 Tl 3.62
Se: 0.3751 0.3751 0.3751  6 Se 2.95-2.96
Se: 0.3751 0.3751 0.8748  6 Se 2.95-2.96
Se: 0.3751 0.8748 0.3751  6 Se 2.95-2.96
Se: 0.8748 0.3751 0.3751  6 Se 2.95-2.96

=====

The following is a DFT calculation (GGA-PBE) of NaTbGdPb after structural relaxation.

Values from the calculation:
crystal system	cubic
symmetry	F-43m
total magnetization	8.12	μB per formula unit
E_tot	-6.0981	eV/atom
formation energy from the elements	-0.16	eV/atom

a b c (Å): 5.4535 5.4535 5.4535
angles (deg): 60.00 60.00 60.00
Last column: nearest neighbours and their distance in Å.
Atoms (fractional coordinates):
Na: 0.0000 0.0000 0.0000  4 Tb 3.34, 4 Gd 3.34
Tb: 0.7500 0.7500 0.7500  4 Pb 3.34, 4 Na 3.34
Gd: 0.2500 0.2500 0.2500  4 Pb 3.34, 4 Na 3.34
Pb: 0.5000 0.5000 0.5000  4 Tb 3.34, 4 Gd 3.34